CdInSb | GGA-PBE | optimized geometry

It has space group Cm (No. 8), with a = 8.8277 Å, b = 5.2522 Å, c = 7.0549 Å, α = 90.00°, β = 90.48° and γ = 90.00°. Symmetry generates all atoms from Cd at (0.0000, 0.0000, 0.0000), Cd at (0.1702, 0.5000, 0.1656), In at (0.1691, 0.5000, 0.6752), In at (0.3384, 0.0000, 0.3522), Sb at (0.0021, 0.0000, 0.4526) and Sb at (0.3353, 0.0000, 0.9093).

Its raw formation energy is 0.048 eV per atom.



TiCrMo | GGA-PBE | optimized geometry

It has space group P3m1 (No. 156), with a = 4.2552 Å, b = 4.2552 Å, c = 2.7792 Å, α = 90.00°, β = 90.00° and γ = 120.00°. Symmetry generates all atoms from Ti at (0.0000, 0.0000, 0.0000), Cr at (0.6667, 0.3333, 0.6428) and Mo at (0.3333, 0.6667, 0.3511).

As for the distance to the lowest polymorph of the same formula: 0 meV/atom. For the formation energy, the calculation gives -0.07 eV per formula unit.



ZrAlGa2 | GGA-PBE | optimized geometry

It has space group R-3m (No. 166, hexagonal axes), with a = 4.2553 Å, b = 4.2553 Å, c = 13.9767 Å, α = 90.00°, β = 90.00° and γ = 120.00°. Symmetry generates all atoms from Zr at (0.0000, 0.0000, 0.0000), Al at (0.0000, 0.0000, 0.5000) and Ga at (0.0000, 0.0000, 0.2289).

For the formation energy, the calculation gives -0.78 eV per formula unit.



Tm2Au2O7 | GGA-PBE | optimized geometry

It has space group Fd-3m (No. 227, origin choice 2), with a = 10.3993 Å, b = 10.3993 Å, c = 10.3993 Å, α = 90.00°, β = 90.00° and γ = 90.00°. Symmetry generates all atoms from Tm at (0.0000, 0.0000, 0.0000), Au at (0.0000, 0.0000, 0.5000), O at (0.0991, 0.3750, 0.8750) and O at (0.1250, 0.1250, 0.1250).

Its raw formation energy is -1.594 eV per atom.



Ho4BiTe2 | GGA-PBE | optimized geometry

It has space group I4_122 (No. 98), with a = 9.5849 Å, b = 9.5849 Å, c = 9.3926 Å, α = 90.00°, β = 90.00° and γ = 90.00°. Symmetry generates all atoms from Ho at (0.0565, 0.1886, 0.3138), Bi at (0.0000, 0.0000, 0.0000) and Te at (0.0528, 0.7500, 0.6250).

Its raw formation energy is -0.860 eV per atom. As for the distance to the lowest polymorph of the same formula: 23 meV/atom.



Dy5Tm4Tl4 | GGA-PBE | optimized geometry

It has space group I4/m (No. 87), with a = 12.2177 Å, b = 12.2177 Å, c = 5.0240 Å, α = 90.00°, β = 90.00° and γ = 90.00°. Symmetry generates all atoms from Dy at (0.0000, 0.0000, 0.0000), Dy at (0.1012, 0.1877, 0.5000), Tm at (0.0957, 0.3978, 0.0000) and Tl at (0.1020, 0.7637, 0.0000).

For the formation energy, the calculation gives -3.24 eV per formula unit.



What is the formula in the third record?
ZrAlGa2



Which formula does entry 6 have?
Dy5Tm4Tl4